This record from the Alexandria database describes crystalline Cd6TePd12 at its relaxed geometry. The functional is PBE-GGA.

Values from the calculation:
Total energy = -3.89 eV/atom
Magnetic moment = 0.0 μB/cell
Fermi-level density of states = 0.60 states/eV/atom
Energy relative to the elements, uncorrected = -0.16 eV per atom
Crystal system = trigonal

Lattice parameters (Å, degrees): 7.176 7.176 7.176 101.69 101.69 101.69
Atoms (fractional coordinates):
Cd 0.056 0.325 0.324
Cd 0.324 0.056 0.325
Cd 0.325 0.324 0.056
Cd 0.675 0.676 0.944
Cd 0.676 0.944 0.675
Cd 0.944 0.675 0.676
Te 0.500 0.500 0.500
Pd 0.089 0.682 0.090
Pd 0.090 0.089 0.682
Pd 0.242 0.499 0.758
Pd 0.242 0.758 0.501
Pd 0.318 0.910 0.911
Pd 0.499 0.758 0.242
Pd 0.501 0.242 0.758
Pd 0.682 0.090 0.089
Pd 0.758 0.242 0.499
Pd 0.758 0.501 0.242
Pd 0.910 0.911 0.318
Pd 0.911 0.318 0.910